Crystalline Zn2Au at its relaxed geometry. Source: Alexandria, functional GGA-PBE.

Lattice parameters (Å, degrees): 3.807 5.302 6.302 90.00 90.00 90.00
Sites, in units of the cell vectors:
Zn (0.000, 0.201, 0.372)
Zn (0.500, 0.299, 0.872)
Zn (0.500, 0.701, 0.128)
Zn (0.000, 0.799, 0.628)
Au (0.000, 0.000, 0.000)
Au (0.500, 0.500, 0.500)

Properties
As for the total magnetization: 0.000 μB/atom. The calculated density is 8.56 Mg/m³. For the final energy, the calculation gives -1.882 eV per atom.